VASP calculation (PBE) on a relaxed structure of MoBr4.

Summary:
- Symmetry: Im-3m
- Total DFT energy (no corrections): -16.404 eV/cell

a b c (Å): 5.652 5.652 5.652
angles (deg): 109.47 109.47 109.47
Each line ends with the local moment (μB).
Fractional positions:
Br1 0.500 0.000 0.000  -0.03
Br2 0.500 0.500 0.500  -0.03
Mo1 0.000 0.000 0.000  2.62
Br3 0.000 0.500 0.000  -0.03
Br4 0.000 0.000 0.500  -0.03

=====

VASP calculation (PBE) on a relaxed structure of MoBr2.

Summary:
- Energy relative to the lowest polymorph listed for this composition: 633 meV per atom
- Symmetry: Cmcm

a b c (Å): 8.748 8.748 5.112
angles (deg): 90.00 90.00 157.84
Fractional positions:
Br1 0.669 0.331 0.750
Br2 0.331 0.669 0.250
Mo1 0.283 0.717 0.750
Br3 0.904 0.096 0.750
Mo2 0.717 0.283 0.250
Br4 0.096 0.904 0.250

=====

VASP calculation (PBE) on a relaxed structure of Mo5Br.

Summary:
- Energy relative to the lowest polymorph listed for this composition: 246 meV per atom
- Symmetry: Cmmm

a b c (Å): 5.284 5.284 4.500
angles (deg): 90.00 90.00 129.85
Fractional positions:
Mo1 0.000 0.000 0.500
Mo2 0.329 0.671 0.500
Mo3 0.671 0.329 0.500
Mo4 0.837 0.163 0.000
Br1 0.500 0.500 0.000
Mo5 0.163 0.837 0.000

=====

VASP calculation (PBE) on a relaxed structure of MoBr4.

Summary:
- Symmetry: I-42m
- Total DFT energy (no corrections): -19.713 eV/cell

a b c (Å): 6.390 6.390 7.250
angles (deg): 116.15 116.15 90.00
Each line ends with the local moment (μB).
Fractional positions:
Mo1 0.000 0.000 0.000  1.54
Br1 0.094 0.662 0.756  0.05
Br2 0.338 0.338 0.244  0.05
Br3 0.662 0.094 0.756  0.05
Br4 0.906 0.906 0.244  0.05

=====

VASP calculation (PBE) on a relaxed structure of MoBr2.

Summary:
- Energy relative to the lowest polymorph listed for this composition: 1025 meV per atom
- Symmetry: Fm-3m

a b c (Å): 4.485 4.485 4.485
angles (deg): 60.00 60.00 60.00
Fractional positions:
Br1 0.250 0.250 0.250
Br2 0.750 0.750 0.750
Mo1 0.000 0.000 0.000

=====

VASP calculation (PBE) on a relaxed structure of Mo5Br.

Summary:
- Energy relative to the lowest polymorph listed for this composition: 247 meV per atom
- Symmetry: Amm2

a b c (Å): 6.836 6.836 4.819
angles (deg): 90.00 90.00 153.15
Fractional positions:
Mo1 0.431 0.569 0.500
Br1 0.005 0.995 0.000
Mo2 0.322 0.678 0.000
Mo3 0.782 0.218 0.500
Mo4 0.116 0.884 0.500
Mo5 0.677 0.323 0.000